Computed, not measured: an optimized crystal structure of YPuCdBi at the PBE-GGA level of DFT.

Summary:
DFT formation energy = -290.3 meV/atom

Lattice parameters (Å, degrees): 5.4141 5.4141 5.4141 60.00 60.00 60.00
Closest atoms and distances in Å follow each position.
Fractional positions:
1 Y 0.0000 0.0000 0.0000  4 Cd 3.32, 4 Bi 3.32
2 Pu 0.5000 0.5000 0.5000  4 Cd 3.32, 4 Bi 3.32
3 Cd 0.2500 0.2500 0.2500  4 Pu 3.32, 4 Y 3.32
4 Bi 0.7500 0.7500 0.7500  4 Pu 3.32, 4 Y 3.32